Entry a
Below is a relaxed CrH2Rh2 crystal, with properties calculated at the PBE level.

CIF file:
```
data_CrH2Rh2
_symmetry_space_group_name_H-M 'I 4/m m m'
_symmetry_Int_Tables_number 139
_symmetry_space_group_name_Hall '-I 4 2'
_cell_length_a 2.772
_cell_length_b 2.772
_cell_length_c 11.992
_cell_angle_alpha 90.00
_cell_angle_beta 90.00
_cell_angle_gamma 90.00
loop_
_atom_site_label
_atom_site_fract_x
_atom_site_fract_y
_atom_site_fract_z
Cr1 0.000 0.000 0.000
H1 0.000 0.500 0.250
Rh1 0.000 0.000 0.357
```



Entry b
Below is a relaxed CrH2Rh2 crystal, with properties calculated at the PBE level.

CIF file:
```
data_CrH2Rh2
_symmetry_space_group_name_H-M 'P 4/m b m'
_symmetry_Int_Tables_number 127
_symmetry_space_group_name_Hall '-P 4 2ab'
_cell_length_a 5.776
_cell_length_b 5.776
_cell_length_c 2.906
_cell_angle_alpha 90.00
_cell_angle_beta 90.00
_cell_angle_gamma 90.00
loop_
_atom_site_label
_atom_site_fract_x
_atom_site_fract_y
_atom_site_fract_z
Cr1 0.000 0.000 0.000
H1 0.209 0.291 0.000
Rh1 0.162 0.662 0.500
```



Most stable structure: entry a



Entry a
Below is a relaxed TaCr2HRh crystal, with properties calculated at the PBE level.

CIF file:
```
data_TaCr2HRh
_symmetry_space_group_name_H-M 'P 4/m m m'
_symmetry_Int_Tables_number 123
_symmetry_space_group_name_Hall '-P 4 2'
_cell_length_a 3.798
_cell_length_b 3.798
_cell_length_c 4.027
_cell_angle_alpha 90.00
_cell_angle_beta 90.00
_cell_angle_gamma 90.00
loop_
_atom_site_label
_atom_site_fract_x
_atom_site_fract_y
_atom_site_fract_z
Ta1 0.000 0.000 0.000
Cr1 0.000 0.500 0.500
H1 0.500 0.500 0.500
Rh1 0.500 0.500 0.000
```



Entry b
Below is a relaxed TaCr2HRh crystal, with properties calculated at the PBE level.

CIF file:
```
data_TaCr2HRh
_symmetry_space_group_name_H-M 'P 4/m m m'
_symmetry_Int_Tables_number 123
_symmetry_space_group_name_Hall '-P 4 2'
_cell_length_a 4.627
_cell_length_b 4.627
_cell_length_c 3.167
_cell_angle_alpha 90.00
_cell_angle_beta 90.00
_cell_angle_gamma 90.00
loop_
_atom_site_label
_atom_site_fract_x
_atom_site_fract_y
_atom_site_fract_z
Ta1 0.000 0.000 0.000
Cr1 0.000 0.500 0.500
H1 0.500 0.500 0.000
Rh1 0.500 0.500 0.500
```



Most stable structure: entry a



Entry a
Below is a relaxed TaCrHRh2 crystal, with properties calculated at the PBE level.

CIF file:
```
data_TaCrHRh2
_symmetry_space_group_name_H-M 'P 4/m m m'
_symmetry_Int_Tables_number 123
_symmetry_space_group_name_Hall '-P 4 2'
_cell_length_a 3.883
_cell_length_b 3.883
_cell_length_c 4.043
_cell_angle_alpha 90.00
_cell_angle_beta 90.00
_cell_angle_gamma 90.00
loop_
_atom_site_label
_atom_site_fract_x
_atom_site_fract_y
_atom_site_fract_z
Ta1 0.000 0.000 0.000
Cr1 0.500 0.500 0.000
H1 0.000 0.000 0.500
Rh1 0.000 0.500 0.500
```



Entry b
Below is a relaxed TaCrHRh2 crystal, with properties calculated at the PBE level.

CIF file:
```
data_TaCrHRh2
_symmetry_space_group_name_H-M 'P 4/m m m'
_symmetry_Int_Tables_number 123
_symmetry_space_group_name_Hall '-P 4 2'
_cell_length_a 3.909
_cell_length_b 3.909
_cell_length_c 3.938
_cell_angle_alpha 90.00
_cell_angle_beta 90.00
_cell_angle_gamma 90.00
loop_
_atom_site_label
_atom_site_fract_x
_atom_site_fract_y
_atom_site_fract_z
Ta1 0.000 0.000 0.000
Cr1 0.500 0.500 0.000
H1 0.500 0.500 0.500
Rh1 0.000 0.500 0.500
```



Most stable structure: entry b



Entry a
Below is a relaxed Ta2CrHRh crystal, with properties calculated at the PBE level.

CIF file:
```
data_Ta2CrHRh
_symmetry_space_group_name_H-M 'P 4/m m m'
_symmetry_Int_Tables_number 123
_symmetry_space_group_name_Hall '-P 4 2'
_cell_length_a 4.314
_cell_length_b 4.314
_cell_length_c 3.505
_cell_angle_alpha 90.00
_cell_angle_beta 90.00
_cell_angle_gamma 90.00
loop_
_atom_site_label
_atom_site_fract_x
_atom_site_fract_y
_atom_site_fract_z
Ta1 0.000 0.500 0.000
Cr1 0.000 0.000 0.500
H1 0.500 0.500 0.000
Rh1 0.500 0.500 0.500
```



Entry b
Below is a relaxed Ta2CrHRh crystal, with properties calculated at the PBE level.

CIF file:
```
data_Ta2CrHRh
_symmetry_space_group_name_H-M 'P 4/m m m'
_symmetry_Int_Tables_number 123
_symmetry_space_group_name_Hall '-P 4 2'
_cell_length_a 4.299
_cell_length_b 4.299
_cell_length_c 3.482
_cell_angle_alpha 90.00
_cell_angle_beta 90.00
_cell_angle_gamma 90.00
loop_
_atom_site_label
_atom_site_fract_x
_atom_site_fract_y
_atom_site_fract_z
Ta1 0.000 0.500 0.000
Cr1 0.000 0.000 0.500
H1 0.000 0.000 0.000
Rh1 0.500 0.500 0.500
```



Most stable structure: entry b



Entry a
Below is a relaxed CrTcHRh2 crystal, with properties calculated at the PBE level.

CIF file:
```
data_CrTcHRh2
_symmetry_space_group_name_H-M 'P 4/m m m'
_symmetry_Int_Tables_number 123
_symmetry_space_group_name_Hall '-P 4 2'
_cell_length_a 3.799
_cell_length_b 3.799
_cell_length_c 3.957
_cell_angle_alpha 90.00
_cell_angle_beta 90.00
_cell_angle_gamma 90.00
loop_
_atom_site_label
_atom_site_fract_x
_atom_site_fract_y
_atom_site_fract_z
Cr1 0.000 0.000 0.000
Tc1 0.500 0.500 0.000
H1 0.500 0.500 0.500
Rh1 0.000 0.500 0.500
```



Entry b
Below is a relaxed CrTcHRh2 crystal, with properties calculated at the PBE level.

CIF file:
```
data_CrTcHRh2
_symmetry_space_group_name_H-M 'P 4/m m m'
_symmetry_Int_Tables_number 123
_symmetry_space_group_name_Hall '-P 4 2'
_cell_length_a 3.795
_cell_length_b 3.795
_cell_length_c 3.937
_cell_angle_alpha 90.00
_cell_angle_beta 90.00
_cell_angle_gamma 90.00
loop_
_atom_site_label
_atom_site_fract_x
_atom_site_fract_y
_atom_site_fract_z
Cr1 0.000 0.000 0.000
Tc1 0.500 0.500 0.000
H1 0.000 0.000 0.500
Rh1 0.000 0.500 0.500
```



Most stable structure: entry b



Entry a
Below is a relaxed Ti2CrHRh crystal, with properties calculated at the PBE level.

CIF file:
```
data_Ti2CrHRh
_symmetry_space_group_name_H-M 'P 4/m m m'
_symmetry_Int_Tables_number 123
_symmetry_space_group_name_Hall '-P 4 2'
_cell_length_a 4.255
_cell_length_b 4.255
_cell_length_c 3.418
_cell_angle_alpha 90.00
_cell_angle_beta 90.00
_cell_angle_gamma 90.00
loop_
_atom_site_label
_atom_site_fract_x
_atom_site_fract_y
_atom_site_fract_z
Ti1 0.000 0.500 0.000
Cr1 0.000 0.000 0.500
H1 0.500 0.500 0.000
Rh1 0.500 0.500 0.500
```



Entry b
Below is a relaxed Ti2CrHRh crystal, with properties calculated at the PBE level.

CIF file:
```
data_Ti2CrHRh
_symmetry_space_group_name_H-M 'P 4/m m m'
_symmetry_Int_Tables_number 123
_symmetry_space_group_name_Hall '-P 4 2'
_cell_length_a 4.300
_cell_length_b 4.300
_cell_length_c 3.232
_cell_angle_alpha 90.00
_cell_angle_beta 90.00
_cell_angle_gamma 90.00
loop_
_atom_site_label
_atom_site_fract_x
_atom_site_fract_y
_atom_site_fract_z
Ti1 0.000 0.500 0.000
Cr1 0.000 0.000 0.500
H1 0.000 0.000 0.000
Rh1 0.500 0.500 0.500
```



Most stable structure: entry b



Entry a
Below is a relaxed CrHRh2W crystal, with properties calculated at the PBE level.

CIF file:
```
data_CrHRh2W
_symmetry_space_group_name_H-M 'P 4/m m m'
_symmetry_Int_Tables_number 123
_symmetry_space_group_name_Hall '-P 4 2'
_cell_length_a 3.838
_cell_length_b 3.838
_cell_length_c 3.953
_cell_angle_alpha 90.00
_cell_angle_beta 90.00
_cell_angle_gamma 90.00
loop_
_atom_site_label
_atom_site_fract_x
_atom_site_fract_y
_atom_site_fract_z
Cr1 0.000 0.000 0.000
H1 0.000 0.000 0.500
Rh1 0.000 0.500 0.500
W1 0.500 0.500 0.000
```



Entry b
Below is a relaxed CrHRh2W crystal, with properties calculated at the PBE level.

CIF file:
```
data_CrHRh2W
_symmetry_space_group_name_H-M 'P 4/m m m'
_symmetry_Int_Tables_number 123
_symmetry_space_group_name_Hall '-P 4 2'
_cell_length_a 3.826
_cell_length_b 3.826
_cell_length_c 4.024
_cell_angle_alpha 90.00
_cell_angle_beta 90.00
_cell_angle_gamma 90.00
loop_
_atom_site_label
_atom_site_fract_x
_atom_site_fract_y
_atom_site_fract_z
Cr1 0.000 0.000 0.000
H1 0.500 0.500 0.500
Rh1 0.000 0.500 0.500
W1 0.500 0.500 0.000
```



Most stable structure: entry a



Entry a
Below is a relaxed Cr3HRu crystal, with properties calculated at the PBE level.

CIF file:
```
data_Cr3HRu
_symmetry_space_group_name_H-M 'P m -3 m'
_symmetry_Int_Tables_number 221
_symmetry_space_group_name_Hall '-P 4 2 3'
_cell_length_a 4.703
_cell_length_b 4.703
_cell_length_c 4.703
_cell_angle_alpha 90.00
_cell_angle_beta 90.00
_cell_angle_gamma 90.00
loop_
_atom_site_label
_atom_site_fract_x
_atom_site_fract_y
_atom_site_fract_z
Cr1 0.000 0.000 0.500
H1 0.500 0.500 0.500
Ru1 0.000 0.000 0.000
```



Entry b
Below is a relaxed Cr3HRu crystal, with properties calculated at the PBE level.

CIF file:
```
data_Cr3HRu
_symmetry_space_group_name_H-M 'C 1 2/m 1'
_symmetry_Int_Tables_number 12
_symmetry_space_group_name_Hall '-C 2y'
_cell_length_a 8.365
_cell_length_b 3.698
_cell_length_c 7.439
_cell_angle_alpha 90.00
_cell_angle_beta 116.48
_cell_angle_gamma 90.00
loop_
_atom_site_label
_atom_site_fract_x
_atom_site_fract_y
_atom_site_fract_z
Cr1 0.118 0.000 0.185
Cr2 0.128 0.500 0.447
Cr3 0.131 0.500 0.934
H1 0.113 0.500 0.183
Ru1 0.124 0.000 0.688
```



Entry c
Below is a relaxed Cr3HRu crystal, with properties calculated at the PBE level.

CIF file:
```
data_Cr3HRu
_symmetry_space_group_name_H-M 'P m -3 m'
_symmetry_Int_Tables_number 221
_symmetry_space_group_name_Hall '-P 4 2 3'
_cell_length_a 3.715
_cell_length_b 3.715
_cell_length_c 3.715
_cell_angle_alpha 90.00
_cell_angle_beta 90.00
_cell_angle_gamma 90.00
loop_
_atom_site_label
_atom_site_fract_x
_atom_site_fract_y
_atom_site_fract_z
Cr1 0.000 0.000 0.500
H1 0.000 0.000 0.000
Ru1 0.500 0.500 0.500
```



Most stable structure: entry c



Entry a
Below is a relaxed Cr2H2Ru crystal, with properties calculated at the PBE level.

CIF file:
```
data_Cr2H2Ru
_symmetry_space_group_name_H-M 'C m c m'
_symmetry_Int_Tables_number 63
_symmetry_space_group_name_Hall '-C 2c 2'
_cell_length_a 2.701
_cell_length_b 15.323
_cell_length_c 3.988
_cell_angle_alpha 90.00
_cell_angle_beta 90.00
_cell_angle_gamma 90.00
loop_
_atom_site_label
_atom_site_fract_x
_atom_site_fract_y
_atom_site_fract_z
Cr1 0.000 0.037 0.250
Cr2 0.000 0.209 0.250
H1 0.000 0.210 0.750
H2 0.000 0.376 0.750
Ru1 0.000 0.389 0.250
```



Entry b
Below is a relaxed Cr2H2Ru crystal, with properties calculated at the PBE level.

CIF file:
```
data_Cr2H2Ru
_symmetry_space_group_name_H-M 'I 4/m m m'
_symmetry_Int_Tables_number 139
_symmetry_space_group_name_Hall '-I 4 2'
_cell_length_a 2.736
_cell_length_b 2.736
_cell_length_c 11.452
_cell_angle_alpha 90.00
_cell_angle_beta 90.00
_cell_angle_gamma 90.00
loop_
_atom_site_label
_atom_site_fract_x
_atom_site_fract_y
_atom_site_fract_z
Cr1 0.000 0.000 0.151
H1 0.000 0.500 0.250
Ru1 0.000 0.000 0.500
```



Most stable structure: entry a



Entry a
Below is a relaxed CrHRu3 crystal, with properties calculated at the PBE level.

CIF file:
```
data_CrHRu3
_symmetry_space_group_name_H-M 'P -1'
_symmetry_Int_Tables_number 2
_symmetry_space_group_name_Hall '-P 1'
_cell_length_a 5.093
_cell_length_b 5.094
_cell_length_c 5.477
_cell_angle_alpha 105.36
_cell_angle_beta 105.59
_cell_angle_gamma 115.20
loop_
_atom_site_label
_atom_site_fract_x
_atom_site_fract_y
_atom_site_fract_z
Cr1 0.055 0.296 0.350
H1 0.238 0.750 0.987
Ru1 0.037 0.283 0.819
Ru2 0.449 0.206 0.656
Ru3 0.464 0.219 0.182
```



Entry b
Below is a relaxed CrHRu3 crystal, with properties calculated at the PBE level.

CIF file:
```
data_CrHRu3
_symmetry_space_group_name_H-M 'P m -3 m'
_symmetry_Int_Tables_number 221
_symmetry_space_group_name_Hall '-P 4 2 3'
_cell_length_a 3.840
_cell_length_b 3.840
_cell_length_c 3.840
_cell_angle_alpha 90.00
_cell_angle_beta 90.00
_cell_angle_gamma 90.00
loop_
_atom_site_label
_atom_site_fract_x
_atom_site_fract_y
_atom_site_fract_z
Cr1 0.000 0.000 0.000
H1 0.500 0.500 0.500
Ru1 0.000 0.500 0.500
```



Entry c
Below is a relaxed CrHRu3 crystal, with properties calculated at the PBE level.

CIF file:
```
data_CrHRu3
_symmetry_space_group_name_H-M 'P m -3 m'
_symmetry_Int_Tables_number 221
_symmetry_space_group_name_Hall '-P 4 2 3'
_cell_length_a 4.433
_cell_length_b 4.433
_cell_length_c 4.433
_cell_angle_alpha 90.00
_cell_angle_beta 90.00
_cell_angle_gamma 90.00
loop_
_atom_site_label
_atom_site_fract_x
_atom_site_fract_y
_atom_site_fract_z
Cr1 0.000 0.000 0.000
H1 0.500 0.500 0.500
Ru1 0.000 0.000 0.500
```



Most stable structure: entry a



Entry a
Below is a relaxed CrH2Ru crystal, with properties calculated at the PBE level.

CIF file:
```
data_CrH2Ru
_symmetry_space_group_name_H-M 'P 4/m m m'
_symmetry_Int_Tables_number 123
_symmetry_space_group_name_Hall '-P 4 2'
_cell_length_a 2.764
_cell_length_b 2.764
_cell_length_c 3.909
_cell_angle_alpha 90.00
_cell_angle_beta 90.00
_cell_angle_gamma 90.00
loop_
_atom_site_label
_atom_site_fract_x
_atom_site_fract_y
_atom_site_fract_z
Cr1 0.000 0.000 0.000
H1 0.000 0.000 0.500
H2 0.500 0.500 0.000
Ru1 0.500 0.500 0.500
```



Entry b
Below is a relaxed CrH2Ru crystal, with properties calculated at the PBE level.

CIF file:
```
data_CrH2Ru
_symmetry_space_group_name_H-M 'R -3 m'
_symmetry_Int_Tables_number 166
_symmetry_space_group_name_Hall '-R 3 2"'
_cell_length_a 2.8772
_cell_length_b 2.8772
_cell_length_c 14.1234
_cell_angle_alpha 90.00
_cell_angle_beta 90.00
_cell_angle_gamma 120.00
loop_
_atom_site_label
_atom_site_fract_x
_atom_site_fract_y
_atom_site_fract_z
Cr1 0.0000 0.0000 0.0000
H1 0.0000 0.0000 0.1200
Ru1 0.0000 0.0000 0.5000
```



Most stable structure: entry a



Entry a
Below is a relaxed CrH2Ru crystal, with properties calculated at the PBE level.

CIF file:
```
data_CrH2Ru
_symmetry_space_group_name_H-M 'I -4 2 d'
_symmetry_Int_Tables_number 122
_symmetry_space_group_name_Hall 'I -4 2bw'
_cell_length_a 4.002
_cell_length_b 4.002
_cell_length_c 8.015
_cell_angle_alpha 90.00
_cell_angle_beta 90.00
_cell_angle_gamma 90.00
loop_
_atom_site_label
_atom_site_fract_x
_atom_site_fract_y
_atom_site_fract_z
Cr1 0.000 0.000 0.000
H1 0.236 0.250 0.125
Ru1 0.000 0.000 0.500
```



Entry b
Below is a relaxed CrH2Ru crystal, with properties calculated at the PBE level.

CIF file:
```
data_CrH2Ru
_symmetry_space_group_name_H-M 'F m -3 m'
_symmetry_Int_Tables_number 225
_symmetry_space_group_name_Hall '-F 4 2 3'
_cell_length_a 5.123
_cell_length_b 5.123
_cell_length_c 5.123
_cell_angle_alpha 90.00
_cell_angle_beta 90.00
_cell_angle_gamma 90.00
loop_
_atom_site_label
_atom_site_fract_x
_atom_site_fract_y
_atom_site_fract_z
Cr1 0.000 0.000 0.000
H1 0.250 0.250 0.250
Ru1 0.000 0.000 0.500
```



Entry c
Below is a relaxed CrH2Ru crystal, with properties calculated at the PBE level.

CIF file:
```
data_CrH2Ru
_symmetry_space_group_name_H-M 'R 3 m'
_symmetry_Int_Tables_number 160
_symmetry_space_group_name_Hall 'R 3 -2"'
_cell_length_a 2.7426
_cell_length_b 2.7426
_cell_length_c 14.1939
_cell_angle_alpha 90.00
_cell_angle_beta 90.00
_cell_angle_gamma 120.00
loop_
_atom_site_label
_atom_site_fract_x
_atom_site_fract_y
_atom_site_fract_z
Cr1 0.0000 0.0000 0.0000
H1 0.0000 0.0000 0.5925
H2 0.0000 0.0000 0.7469
Ru1 0.0000 0.0000 0.1771
```



Most stable structure: entry a